Entry 1:
! BaNaHg2Bi2 | the Alexandria database | PBE-GGA | optimized geometry; values from VASP
&SYSTEM
  ibrav = 0, nat = 6, ntyp = 4
/
ATOMIC_SPECIES
Bi 208.98 Bi.upf
Hg 200.59 Hg.upf
Ba 137.33 Ba.upf
Na 22.99 Na.upf
CELL_PARAMETERS angstrom
5.2384 0.0000 0.0000
-2.6192 4.5366 0.0000
0.0000 0.0000 8.1262
ATOMIC_POSITIONS crystal
Bi 0.3333 0.6667 0.7381
Hg 0.6667 0.3333 0.6711
Ba 0.0000 0.0000 0.0000
Hg 0.3333 0.6667 0.3289
Na 0.0000 0.0000 0.5000
Bi 0.6667 0.3333 0.2619
! - Total DFT energy (no corrections): -2.351 eV/atom
! - D(E_F): 1.166 states/eV/cell
! - DFT formation energy: -416 meV per atom
! - Mass density: 8.42 g cm⁻³

Entry 2:
! BaNiHg2Bi | the Alexandria database | PBE-GGA | optimized geometry; values from VASP
&SYSTEM
  ibrav = 0, nat = 5, ntyp = 4
/
ATOMIC_SPECIES
Ni 58.69 Ni.upf
Hg 200.59 Hg.upf
Bi 208.98 Bi.upf
Ba 137.33 Ba.upf
CELL_PARAMETERS angstrom
-3.0103 -3.0762 -2.8356
3.2546 0.4733 -3.9686
2.7228 -4.2550 1.7255
ATOMIC_POSITIONS crystal
Ni 0.0000 0.0000 0.0000
Hg 0.0000 0.5000 0.0000
Bi 0.0000 0.0000 0.5000
Ba 0.5000 0.5000 0.5000
Hg 0.5000 0.0000 0.0000
! - Total DFT energy (no corrections): -2.733 eV/atom
! - D(E_F): 3.383 states/eV/cell
! - DFT formation energy: -296 meV per atom
! - Mass density: 9.44 g cm⁻³

Entry 3:
! Ba2NiHgBi6 | the Alexandria database | PBE-GGA | optimized geometry; values from VASP
&SYSTEM
  ibrav = 0, nat = 20, ntyp = 4
/
ATOMIC_SPECIES
Hg 200.59 Hg.upf
Ba 137.33 Ba.upf
Bi 208.98 Bi.upf
Ni 58.69 Ni.upf
CELL_PARAMETERS angstrom
-1.1744 -5.4956 3.9214
4.3875 -1.6411 5.0014
-8.1831 7.7672 14.4218
ATOMIC_POSITIONS crystal
Hg 0.5775 0.5775 0.2675
Ba 0.6837 0.6837 0.9488
Hg 0.4225 0.4225 0.7325
Bi 0.2813 0.8003 0.1181
Bi 0.1997 0.1997 0.8819
Ni 0.5000 0.5000 0.5000
Bi 0.3571 0.8790 0.4068
Bi 0.3571 0.3571 0.4068
Bi 0.8790 0.3571 0.4068
Bi 0.6429 0.1210 0.5932
Bi 0.7187 0.1997 0.8819
Bi 0.6429 0.6429 0.5932
Bi 0.1997 0.7187 0.8819
Ni 0.0000 0.0000 0.0000
Bi 0.1210 0.6429 0.5932
Bi 0.8003 0.2813 0.1181
Ba 0.3163 0.3163 0.0512
Bi 0.8003 0.8003 0.1181
Ba 0.0991 0.0991 0.7028
Ba 0.9009 0.9009 0.2972
! - Total DFT energy (no corrections): -3.610 eV/atom
! - D(E_F): 18.620 states/eV/cell
! - DFT formation energy: -289 meV per atom
! - Mass density: 8.17 g cm⁻³

Entry 4:
! Ba2HgBiO5 | the Alexandria database | PBE-GGA | optimized geometry; values from VASP
&SYSTEM
  ibrav = 0, nat = 18, ntyp = 4
/
ATOMIC_SPECIES
Hg 200.59 Hg.upf
O 16.00 O.upf
Ba 137.33 Ba.upf
Bi 208.98 Bi.upf
CELL_PARAMETERS angstrom
-1.8142 2.6173 -1.8103
-4.7473 -1.4236 6.4057
5.5390 7.8917 5.8588
ATOMIC_POSITIONS crystal
Hg 0.4677 0.9354 0.4612
O 0.7229 0.4458 0.1410
O 0.7016 0.4032 0.8846
Ba 0.8927 0.7853 0.1886
O 0.4972 0.9943 0.7760
O 0.2984 0.5968 0.3846
Ba 0.8715 0.7430 0.7989
Ba 0.1285 0.2570 0.2989
O 0.3587 0.7175 0.0013
O 0.6413 0.2825 0.5013
Hg 0.5323 0.0646 0.9612
O 0.9243 0.8485 0.5609
Bi 0.2188 0.4376 0.0115
O 0.5028 0.0057 0.2760
O 0.0757 0.1515 0.0609
O 0.2771 0.5542 0.6410
Bi 0.7812 0.5624 0.5115
Ba 0.1073 0.2147 0.6886
! - Total DFT energy (no corrections): -5.215 eV/atom
! - D(E_F): 3.520 states/eV/cell
! - Raw formation energy: -1.5682 eV/atom
! - Mass density: 7.78 g cm⁻³

Entry 5:
! Ba4HgBiO | the Alexandria database | PBE-GGA | optimized geometry; values from VASP
&SYSTEM
  ibrav = 0, nat = 14, ntyp = 4
/
ATOMIC_SPECIES
Ba 137.33 Ba.upf
O 16.00 O.upf
Bi 208.98 Bi.upf
Hg 200.59 Hg.upf
CELL_PARAMETERS angstrom
-7.1480 0.9151 -2.2249
-1.5501 -7.2232 2.0090
1.2818 2.4107 9.6562
ATOMIC_POSITIONS crystal
Ba 0.0686 0.7500 0.1373
Ba 0.5000 0.5000 0.5000
Ba 0.0000 0.5000 0.5000
Ba 0.5000 0.0000 0.5000
Ba 0.9314 0.2500 0.8627
O 0.7304 0.2500 0.4609
O 0.2696 0.7500 0.5391
Bi 0.3870 0.2500 0.7739
Ba 0.4150 0.7500 0.8300
Bi 0.6130 0.7500 0.2261
Ba 0.0000 0.0000 0.5000
Hg 0.8821 0.7500 0.7642
Ba 0.5850 0.2500 0.1700
Hg 0.1179 0.2500 0.2358
! - Total DFT energy (no corrections): -3.554 eV/atom
! - D(E_F): 10.805 states/eV/cell
! - Raw formation energy: -1.1491 eV/atom
! - Mass density: 6.03 g cm⁻³

Entry 6:
! Ba2HgBiO | the Alexandria database | PBE-GGA | optimized geometry; values from VASP
&SYSTEM
  ibrav = 0, nat = 10, ntyp = 4
/
ATOMIC_SPECIES
Hg 200.59 Hg.upf
Ba 137.33 Ba.upf
O 16.00 O.upf
Bi 208.98 Bi.upf
CELL_PARAMETERS angstrom
3.8193 0.0000 0.0000
0.0000 9.3781 0.8607
0.0000 -2.9994 9.3333
ATOMIC_POSITIONS crystal
Hg 0.7500 0.4791 0.2812
Ba 0.7500 0.8199 0.0223
Hg 0.2500 0.5209 0.7188
O 0.7500 0.0895 0.1367
Bi 0.2500 0.7627 0.3332
Bi 0.7500 0.2373 0.6668
Ba 0.2500 0.1546 0.3349
O 0.2500 0.9105 0.8633
Ba 0.7500 0.8454 0.6651
Ba 0.2500 0.1801 0.9777
! - Total DFT energy (no corrections): -3.860 eV/atom
! - D(E_F): 3.875 states/eV/cell
! - Raw formation energy: -1.2628 eV/atom
! - Mass density: 6.76 g cm⁻³
! - Energy above the lowest structure with this stoichiometry: 0.000 eV per atom